1.
Entry from OQMD: a relaxed structure of DyErB4C (GGA-PBE).

Geometry as POSCAR:
```
DyErB4C
1.0
-1.632 3.281 3.745
1.632 -3.281 3.745
1.632 3.281 -3.745
B C Dy Er
4 1 1 1
Direct
0.636 0.501 0.135
0.228 0.000 0.228
0.773 0.000 0.772
0.367 0.501 0.865
0.997 0.997 0.000
0.234 0.734 0.500
0.765 0.265 0.500
```

Output
Electronic total energy: -7.02 eV per atom
Symmetry: Imm2, No. 44

---

2.
Entry from OQMD: a relaxed structure of Dy2Fe2B2CN (GGA-PBE).

Geometry as POSCAR:
```
Dy2Fe2B2CN
1.0
-2.479 1.797 -1.664
-1.043 -2.917 -1.597
-4.963 -1.428 5.851
B C Dy Fe N
2 1 2 2 1
Direct
0.000 0.000 0.332
0.500 0.500 0.664
0.500 0.500 0.857
0.500 0.500 0.166
0.000 0.000 0.841
0.500 0.000 0.497
0.000 0.500 0.497
0.000 0.000 0.145
```

Output
Electronic total energy: -7.79 eV per atom
Symmetry: P4mm, No. 99

---

3.
Entry from OQMD: a relaxed structure of SmDyFe2B2C2 (GGA-PBE).

Geometry as POSCAR:
```
SmDyFe2B2C2
1.0
-1.522 -0.887 -3.107
3.225 -0.622 -1.402
-0.429 -7.557 2.367
B C Dy Fe Sm
2 2 1 2 1
Direct
0.500 0.500 0.163
0.000 0.000 0.836
0.500 0.500 0.350
0.000 0.000 0.648
0.000 0.000 0.337
0.500 0.000 0.001
0.000 0.500 0.001
0.500 0.500 0.665
```

Output
Electronic total energy: -7.53 eV per atom
Symmetry: P4mm, No. 99

---

4.
Entry from OQMD: a relaxed structure of Gd2DyNi2B2C3 (GGA-PBE).

Geometry as POSCAR:
```
Gd2DyNi2B2C3
1.0
-1.804 1.804 10.193
1.804 -1.804 10.193
1.804 1.804 -10.193
B C Dy Gd Ni
2 3 1 2 2
Direct
0.196 0.196 0.000
0.804 0.804 0.000
0.124 0.124 0.000
0.500 0.500 0.000
0.876 0.876 0.000
0.000 0.000 0.000
0.377 0.377 0.000
0.623 0.623 0.000
0.750 0.250 0.500
0.250 0.750 0.500
```

Output
Electronic total energy: -7.00 eV per atom
Symmetry: I4/mmm, No. 139